[1]
Below is an optimized crystal structure of Ac2PrCdTe5, with properties calculated at the PBE-GGA level.

Lattice parameters (Å, degrees): 4.565 10.151 13.819 90.00 90.00 103.00
Fractional coordinates of all 18 atoms:
Cd1 0.443 0.886 0.455
Cd2 0.557 0.114 0.955
Ac1 0.131 0.261 0.310
Ac2 0.883 0.766 0.185
Ac3 0.869 0.739 0.810
Ac4 0.117 0.234 0.685
Te1 0.711 0.421 0.172
Te2 0.640 0.281 0.501
Te3 0.311 0.621 0.345
Te4 0.503 0.007 0.273
Te5 0.689 0.379 0.845
Te6 0.497 0.993 0.773
Te7 0.289 0.579 0.672
Te8 0.957 0.914 0.573
Te9 0.360 0.719 0.001
Te10 0.043 0.086 0.073
Pr1 0.198 0.397 0.010
Pr2 0.802 0.603 0.510

Space-group type ... Cmc2_1, No. 36
Final energy ... -4.576 eV per atom
Density ... 7.160 g/cm3
Formation energy (no corrections) ... -1285 meV/atom


[2]
Below is an optimized crystal structure of Ac3Pr2Tl4Cd2, with properties calculated at the PBE-GGA level.

Lattice parameters (Å, degrees): 5.208 5.208 16.125 90.00 90.00 120.00
Fractional coordinates of all 11 atoms:
Tl1 0.667 0.333 0.127
Tl2 0.667 0.333 0.640
Tl3 0.333 0.667 0.360
Tl4 0.333 0.667 0.873
Cd1 0.667 0.333 0.884
Cd2 0.333 0.667 0.116
Ac1 0.000 0.000 0.000
Ac2 0.000 0.000 0.251
Ac3 0.000 0.000 0.749
Pr1 0.667 0.333 0.428
Pr2 0.333 0.667 0.572

DFT formation energy ... -2.45 eV per formula unit
Space-group type ... P-3m1, No. 164
Final energy ... -3.239 eV per atom
Density ... 8.790 g/cm3


[3]
Below is an optimized crystal structure of AcPrTmCd, with properties calculated at the PBE-GGA level.

Lattice parameters (Å, degrees): 3.800 3.800 9.071 90.00 90.00 90.00
Fractional coordinates of all 4 atoms:
Ac1 0.000 0.000 0.083
Tm1 0.500 0.500 0.365
Pr1 0.500 0.500 0.783
Cd1 0.000 0.000 0.554

DFT formation energy ... -0.49 eV per formula unit
Space-group type ... P4mm, No. 99
Energy above the lowest structure with this stoichiometry ... 0 meV/atom
Final energy ... -3.692 eV per atom
Density ... 8.230 g/cm3


[4]
Below is an optimized crystal structure of AcPrTmCd, with properties calculated at the PBE-GGA level.

Lattice parameters (Å, degrees): 5.676 5.676 5.676 60.00 60.00 60.00
Fractional coordinates of all 4 atoms:
Pr1 0.250 0.250 0.250
Ac1 0.000 0.000 0.000
Tm1 0.750 0.750 0.750
Cd1 0.500 0.500 0.500

DFT formation energy ... 0.29 eV per formula unit
Space-group type ... F-43m, No. 216
Energy above the lowest structure with this stoichiometry ... 196 meV/atom
Final energy ... -3.496 eV per atom
Density ... 8.339 g/cm3


[5]
Below is an optimized crystal structure of AcPrZnCd, with properties calculated at the PBE-GGA level.

Lattice parameters (Å, degrees): 5.522 5.522 5.522 60.00 60.00 60.00
Fractional coordinates of all 4 atoms:
Zn1 0.250 0.250 0.250
Cd1 0.750 0.750 0.750
Ac1 0.500 0.500 0.500
Pr1 0.000 0.000 0.000

DFT formation energy ... -1.02 eV per formula unit
Space-group type ... F-43m, No. 216
Energy above the lowest structure with this stoichiometry ... 30 meV/atom
Final energy ... -3.025 eV per atom
Density ... 7.611 g/cm3


[6]
Below is an optimized crystal structure of AcPrZnCd, with properties calculated at the PBE-GGA level.

Lattice parameters (Å, degrees): 3.875 3.875 7.861 90.00 90.00 90.00
Fractional coordinates of all 4 atoms:
Ac1 0.500 0.500 0.124
Cd1 0.000 0.000 0.838
Zn1 0.000 0.000 0.378
Pr1 0.500 0.500 0.588

DFT formation energy ... -1.14 eV per formula unit
Space-group type ... P4mm, No. 99
Energy above the lowest structure with this stoichiometry ... 0 meV/atom
Final energy ... -3.055 eV per atom
Density ... 7.675 g/cm3


[7]
Below is an optimized crystal structure of Ac3Cd9Pt2, with properties calculated at the PBE-GGA level.

Lattice parameters (Å, degrees): 4.909 9.004 9.004 72.49 74.18 74.18
Fractional coordinates of all 14 atoms:
Cd1 0.664 0.698 0.975
Cd2 0.877 0.402 0.843
Cd3 0.123 0.598 0.157
Cd4 0.123 0.157 0.598
Cd5 0.336 0.302 0.025
Cd6 0.000 0.500 0.500
Cd7 0.336 0.025 0.302
Cd8 0.877 0.843 0.402
Cd9 0.664 0.975 0.698
Pt1 0.500 0.306 0.694
Pt2 0.500 0.694 0.306
Ac1 0.000 0.000 0.000
Ac2 0.682 0.318 0.318
Ac3 0.318 0.682 0.682

DFT formation energy ... -5.43 eV per formula unit
Space-group type ... Immm, No. 71
Final energy ... -2.719 eV per atom
Density ... 9.683 g/cm3


[8]
Below is an optimized crystal structure of Ac2Cd5Pt4, with properties calculated at the PBE-GGA level.

Lattice parameters (Å, degrees): 5.752 5.861 9.310 81.28 72.01 60.61
Fractional coordinates of all 11 atoms:
Ac1 0.858 0.000 0.284
Ac2 0.142 0.000 0.716
Cd1 0.500 0.500 0.000
Cd2 0.250 0.500 0.500
Cd3 0.000 0.500 0.000
Cd4 0.750 0.500 0.500
Cd5 0.500 0.000 0.000
Pt1 0.485 0.290 0.739
Pt2 0.775 0.710 0.739
Pt3 0.515 0.710 0.261
Pt4 0.225 0.290 0.261

DFT formation energy ... -5.85 eV per formula unit
Space-group type ... Fmmm, No. 69
Final energy ... -3.892 eV per atom
Density ... 11.468 g/cm3


[9]
Below is an optimized crystal structure of Ac2Cd2Pt15, with properties calculated at the PBE-GGA level.

Lattice parameters (Å, degrees): 7.101 7.101 7.101 83.64 83.64 83.64
Fractional coordinates of all 19 atoms:
Pt1 0.310 0.690 0.000
Pt2 0.690 0.310 0.000
Pt3 0.000 0.000 0.500
Pt4 0.500 0.000 0.000
Pt5 0.000 0.500 0.000
Pt6 0.841 0.344 0.344
Pt7 0.656 0.656 0.159
Pt8 0.344 0.841 0.344
Pt9 0.344 0.344 0.841
Pt10 0.000 0.310 0.690
Pt11 0.690 0.000 0.310
Pt12 0.159 0.656 0.656
Pt13 0.310 0.000 0.690
Pt14 0.656 0.159 0.656
Pt15 0.000 0.690 0.310
Ac1 0.348 0.348 0.348
Ac2 0.652 0.652 0.652
Cd1 0.099 0.099 0.099
Cd2 0.901 0.901 0.901

DFT formation energy ... -9.99 eV per formula unit
Space-group type ... R-3m, No. 166
Final energy ... -5.824 eV per atom
Density ... 17.010 g/cm3


[10]
Below is an optimized crystal structure of Ac2CdPt, with properties calculated at the PBE-GGA level.

Lattice parameters (Å, degrees): 4.224 8.018 7.952 90.00 105.40 90.00
Fractional coordinates of all 8 atoms:
Ac1 0.637 0.501 0.273
Ac2 0.363 0.001 0.727
Ac3 0.637 0.999 0.273
Ac4 0.363 0.499 0.727
Cd1 0.997 0.250 0.994
Cd2 0.003 0.750 0.006
Pt1 0.205 0.750 0.411
Pt2 0.795 0.250 0.589

DFT formation energy ... -2.92 eV per formula unit
Space-group type ... Cmcm, No. 63
Energy above the lowest structure with this stoichiometry ... 0 meV/atom
Final energy ... -4.524 eV per atom
Density ... 9.742 g/cm3


[11]
Below is an optimized crystal structure of Ac2CdPt3, with properties calculated at the PBE-GGA level.

Lattice parameters (Å, degrees): 6.360 6.360 8.782 107.46 107.46 99.87
Fractional coordinates of all 12 atoms:
Cd1 0.332 0.332 0.664
Cd2 0.668 0.668 0.336
Ac1 0.750 0.250 0.500
Ac2 0.759 0.759 0.000
Ac3 0.250 0.750 0.500
Ac4 0.241 0.241 0.000
Pt1 0.165 0.659 0.824
Pt2 0.835 0.341 0.176
Pt3 0.659 0.165 0.824
Pt4 0.157 0.157 0.315
Pt5 0.341 0.835 0.176
Pt6 0.843 0.843 0.685

DFT formation energy ... -5.21 eV per formula unit
Space-group type ... Fmmm, No. 69
Final energy ... -5.410 eV per atom
Density ... 12.355 g/cm3


[12]
Below is an optimized crystal structure of Ac4Cd3Pt, with properties calculated at the PBE-GGA level.

Lattice parameters (Å, degrees): 3.975 3.975 16.221 90.00 90.00 90.00
Fractional coordinates of all 8 atoms:
Pt1 0.500 0.500 0.000
Ac1 0.000 0.000 0.892
Ac2 0.000 0.000 0.630
Ac3 0.000 0.000 0.108
Ac4 0.000 0.000 0.370
Cd1 0.500 0.500 0.500
Cd2 0.500 0.500 0.244
Cd3 0.500 0.500 0.756

DFT formation energy ... -3.86 eV per formula unit
Space-group type ... P4/mmm, No. 123
Final energy ... -3.635 eV per atom
Density ... 9.331 g/cm3